Entry from the Alexandria database: ScCoC after structural relaxation (PBE).

For the theoretical density, the calculation gives 5.2 Mg/m³. The value obtained for the volume is 147 Å³/cell. Its energy above the lowest structure with this stoichiometry is 0.000 eV/atom. Its magnetization is 0.00 μB per formula unit. Its calculated total energy is -94.61 eV for the cell shown. The crystal system is monoclinic.

The space group is C2/m (No. 12) and the conventional cell measures 8.6792, 3.2490 and 5.4461 Å, with angles of 90.00, 106.27 and 90.00 degrees. Symmetry generates all atoms from Sc at (0.1083, 0.0000, 0.3223), Co at (0.1537, 0.5000, 0.8863) and C at (0.2146, 0.0000, 0.7593).

---

Entry from the Alexandria database: Sc3CoC after structural relaxation (PBE).

For the theoretical density, the calculation gives 3.9 Mg/m³. The value obtained for the volume is 87 Å³/cell. Its energy above the lowest structure with this stoichiometry is 0.000 eV/atom. Its magnetization is 0.00 μB per formula unit. Its calculated total energy is -36.12 eV for the cell shown. The crystal system is cubic.

The space group is Pm-3m (No. 221) and the conventional cell measures 4.4324, 4.4324 and 4.4324 Å, with angles of 90.00, 90.00 and 90.00 degrees. Symmetry generates all atoms from Sc at (0.0000, 0.0000, 0.5000), Co at (0.5000, 0.5000, 0.5000) and C at (0.0000, 0.0000, 0.0000).

---

Entry from the Alexandria database: ScCo2C after structural relaxation (PBE).

For the theoretical density, the calculation gives 6.0 Mg/m³. The value obtained for the volume is 96 Å³/cell. Its magnetization is 0.63 μB per formula unit. Its calculated total energy is -60.37 eV for the cell shown. The crystal system is orthorhombic.

The space group is Cmmm (No. 65) and the conventional cell measures 4.5678, 7.3023 and 2.8862 Å, with angles of 90.00, 90.00 and 90.00 degrees. Symmetry generates all atoms from Sc at (0.0000, 0.0000, 0.0000), Co at (0.0000, 0.3361, 0.5000) and C at (0.0000, 0.5000, 0.0000).

---

Entry from the Alexandria database: ScCoC after structural relaxation (PBE).

For the theoretical density, the calculation gives 5.2 Mg/m³. The value obtained for the volume is 112 Å³/cell. Its energy above the lowest structure with this stoichiometry is 0.419 eV/atom. Its magnetization is 0.00 μB per formula unit. Its calculated total energy is -67.18 eV for the cell shown. The crystal system is trigonal.

The space group is R3m (No. 160, hexagonal axes) and the conventional cell measures 3.0454, 3.0454 and 13.8967 Å, with angles of 90.00, 90.00 and 120.00 degrees. Symmetry generates all atoms from Sc at (0.0000, 0.0000, 0.0000), Co at (0.0000, 0.0000, 0.1805) and C at (0.0000, 0.0000, 0.7895).

---

Entry from the Alexandria database: ScCoC3 after structural relaxation (PBE).

For the theoretical density, the calculation gives 3.4 Mg/m³. The value obtained for the volume is 69 Å³/cell. Its energy above the lowest structure with this stoichiometry is 1.499 eV/atom. Its magnetization is 0.00 μB per formula unit. Its calculated total energy is -26.93 eV for the cell shown. The crystal system is cubic.

The space group is Pm-3m (No. 221) and the conventional cell measures 4.0953, 4.0953 and 4.0953 Å, with angles of 90.00, 90.00 and 90.00 degrees. Symmetry generates all atoms from Sc at (0.0000, 0.0000, 0.0000), Co at (0.5000, 0.5000, 0.5000) and C at (0.0000, 0.0000, 0.5000).

---

Entry from the Alexandria database: Sc2CoSiC after structural relaxation (PBE).

For the theoretical density, the calculation gives 4.2 Mg/m³. The value obtained for the volume is 74 Å³/cell. Its magnetization is 0.00 μB per formula unit. Its calculated total energy is -36.67 eV for the cell shown. The crystal system is tetragonal.

The space group is P4/mmm (No. 123) and the conventional cell measures 4.4892, 4.4892 and 3.6888 Å, with angles of 90.00, 90.00 and 90.00 degrees. Symmetry generates all atoms from Sc at (0.0000, 0.5000, 0.0000), Co at (0.0000, 0.0000, 0.5000), Si at (0.5000, 0.5000, 0.5000) and C at (0.0000, 0.0000, 0.0000).